# TmMgAu6 GGA-PBE optimized geometry
data_TmMgAu6
_cell_length_a 9.4086
_cell_length_b 4.1958
_cell_length_c 8.5412
_cell_angle_alpha 90.00
_cell_angle_beta 116.94
_cell_angle_gamma 90.00
_symmetry_space_group_name_H-M 'C 1 2/m 1'
_symmetry_Int_Tables_number 12
loop_
_symmetry_equiv_pos_as_xyz
'x,y,z'
'-x,-y,-z'
'-x,y,-z'
'x,-y,z'
'x+1/2,y+1/2,z'
'-x+1/2,-y+1/2,-z'
'-x+1/2,y+1/2,-z'
'x+1/2,-y+1/2,z'
loop_
_atom_site_label
_atom_site_type_symbol
_atom_site_fract_x
_atom_site_fract_y
_atom_site_fract_z
_atom_site_occupancy
Tm1 Tm 0.0000 0.0000 0.0000 1
Mg1 Mg 0.0000 0.0000 0.5000 1
Au1 Au 0.0007 0.5000 0.2562 1
Au2 Au 0.2477 0.0000 0.8699 1
Au3 Au 0.2487 0.5000 0.6212 1
# **Crystal system**: monoclinic
# **E**: -0.2758 Ry per atom
# **M_tot**: 0.00 μB/f.u.
# **V**: 300.6 Å³ per cell



# Ca2TeO GGA-PBE optimized geometry
data_Ca2TeO
_cell_length_a 6.9445
_cell_length_b 6.9445
_cell_length_c 8.2793
_cell_angle_alpha 90.00
_cell_angle_beta 90.00
_cell_angle_gamma 90.00
_symmetry_space_group_name_H-M 'I -4 2 d'
_symmetry_Int_Tables_number 122
_symmetry_space_group_name_Hall 'I -4 2bw'
loop_
_atom_site_label
_atom_site_type_symbol
_atom_site_fract_x
_atom_site_fract_y
_atom_site_fract_z
_atom_site_occupancy
Ca1 Ca 0.1456 0.2500 0.1250 1
Te1 Te 0.0000 0.0000 0.5000 1
O1 O 0.0000 0.0000 0.0000 1
# **Crystal system**: tetragonal
# **Energy relative to the lowest polymorph listed for this composition**: 0.041 eV per atom
# **M_tot**: 0.00 μB/f.u.
# **V**: 399.3 Å³ per cell
# **Uncorrected formation energy**: -2.152 eV per atom



# BaLaSi2P GGA-PBE optimized geometry
data_BaLaSi2P
_cell_length_a 5.3144
_cell_length_b 5.3144
_cell_length_c 6.1738
_cell_angle_alpha 90.00
_cell_angle_beta 90.00
_cell_angle_gamma 90.00
_symmetry_space_group_name_H-M 'P 4/m m m'
_symmetry_Int_Tables_number 123
_symmetry_space_group_name_Hall '-P 4 2'
loop_
_atom_site_label
_atom_site_type_symbol
_atom_site_fract_x
_atom_site_fract_y
_atom_site_fract_z
_atom_site_occupancy
Ba1 Ba 0.0000 0.0000 0.0000 1
La1 La 0.0000 0.0000 0.5000 1
Si1 Si 0.0000 0.5000 0.0000 1
P1 P 0.5000 0.5000 0.5000 1
# **Crystal system**: tetragonal
# **Energy relative to the lowest polymorph listed for this composition**: 1.371 eV per atom
# **M_tot**: 0.33 μB/f.u.
# **V**: 174.4 Å³ per cell
# **Uncorrected formation energy**: 1.601 eV per atom



# SbRu2O GGA-PBE optimized geometry
data_SbRu2O
_cell_length_a 4.5865
_cell_length_b 4.5865
_cell_length_c 13.0148
_cell_angle_alpha 90.00
_cell_angle_beta 90.00
_cell_angle_gamma 90.00
_symmetry_space_group_name_H-M 'I -4 2 d'
_symmetry_Int_Tables_number 122
_symmetry_space_group_name_Hall 'I -4 2bw'
loop_
_atom_site_label
_atom_site_type_symbol
_atom_site_fract_x
_atom_site_fract_y
_atom_site_fract_z
_atom_site_occupancy
Sb1 Sb 0.0000 0.0000 0.0000 1
Ru1 Ru 0.1156 0.2500 0.6250 1
O1 O 0.0000 0.0000 0.5000 1
# **Crystal system**: tetragonal
# **Energy relative to the lowest polymorph listed for this composition**: 0.000 eV per atom
# **M_tot**: 0.00 μB/f.u.
# **V**: 273.8 Å³ per cell
# **Uncorrected formation energy**: 0.006 eV per atom



# TlGeC GGA-PBE optimized geometry
data_TlGeC
_cell_length_a 3.3232
_cell_length_b 5.6405
_cell_length_c 6.8764
_cell_angle_alpha 73.82
_cell_angle_beta 89.99
_cell_angle_gamma 89.96
_symmetry_space_group_name_H-M 'P 1'
_symmetry_Int_Tables_number 1
loop_
_symmetry_equiv_pos_as_xyz
'x,y,z'
loop_
_atom_site_label
_atom_site_type_symbol
_atom_site_fract_x
_atom_site_fract_y
_atom_site_fract_z
_atom_site_occupancy
Tl1 Tl 0.0000 0.0000 0.0000 1
Tl2 Tl 0.4995 0.5115 0.9447 1
Ge1 Ge 0.4868 0.5569 0.3782 1
Ge2 Ge 0.4874 0.8949 0.5553 1
C1 C 0.9872 0.0996 0.4965 1
C2 C 0.9870 0.3527 0.4520 1
# **Crystal system**: triclinic
# **Energy relative to the lowest polymorph listed for this composition**: 0.000 eV per atom
# **M_tot**: 0.00 μB/f.u.
# **V**: 123.8 Å³ per cell



# OsSeN2Cl GGA-PBE optimized geometry
data_OsSeN2Cl
_cell_length_a 3.7860
_cell_length_b 3.7860
_cell_length_c 4.7078
_cell_angle_alpha 90.00
_cell_angle_beta 90.00
_cell_angle_gamma 90.00
_symmetry_space_group_name_H-M 'P 4/m m m'
_symmetry_Int_Tables_number 123
_symmetry_space_group_name_Hall '-P 4 2'
loop_
_atom_site_label
_atom_site_type_symbol
_atom_site_fract_x
_atom_site_fract_y
_atom_site_fract_z
_atom_site_occupancy
Os1 Os 0.0000 0.0000 0.0000 1
Se1 Se 0.5000 0.5000 0.0000 1
N1 N 0.0000 0.5000 0.5000 1
Cl1 Cl 0.5000 0.5000 0.5000 1
# **Crystal system**: tetragonal
# **Energy relative to the lowest polymorph listed for this composition**: 2.095 eV per atom
# **M_tot**: 0.00 μB/f.u.
# **V**: 67.5 Å³ per cell
# **Uncorrected formation energy**: 2.755 eV per atom



# SrAsPdSe2 GGA-PBE optimized geometry
data_SrAsPdSe2
_cell_length_a 5.2942
_cell_length_b 5.2942
_cell_length_c 4.6330
_cell_angle_alpha 90.00
_cell_angle_beta 90.00
_cell_angle_gamma 90.00
_symmetry_space_group_name_H-M 'P 4/m m m'
_symmetry_Int_Tables_number 123
_symmetry_space_group_name_Hall '-P 4 2'
loop_
_atom_site_label
_atom_site_type_symbol
_atom_site_fract_x
_atom_site_fract_y
_atom_site_fract_z
_atom_site_occupancy
Sr1 Sr 0.0000 0.0000 0.0000 1
As1 As 0.5000 0.5000 0.0000 1
Pd1 Pd 0.5000 0.5000 0.5000 1
Se1 Se 0.0000 0.5000 0.5000 1
# **Crystal system**: tetragonal
# **Energy relative to the lowest polymorph listed for this composition**: 0.000 eV per atom
# **M_tot**: 0.00 μB/f.u.
# **V**: 129.9 Å³ per cell
# **Uncorrected formation energy**: -0.542 eV per atom



# Mn3CuBr9 GGA-PBE optimized geometry
data_Mn3CuBr9
_cell_length_a 18.1355
_cell_length_b 8.9555
_cell_length_c 13.4182
_cell_angle_alpha 90.00
_cell_angle_beta 116.30
_cell_angle_gamma 90.00
_symmetry_space_group_name_H-M 'C 1 c 1'
_symmetry_Int_Tables_number 9
loop_
_symmetry_equiv_pos_as_xyz
'x,y,z'
'x,-y,z+1/2'
'x+1/2,y+1/2,z'
'x+1/2,-y+1/2,z+1/2'
loop_
_atom_site_label
_atom_site_type_symbol
_atom_site_fract_x
_atom_site_fract_y
_atom_site_fract_z
_atom_site_occupancy
Mn1 Mn 0.0000 0.0395 0.0000 1
Mn2 Mn 0.0149 0.3810 0.7801 1
Mn3 Mn 0.1849 0.2009 0.7548 1
Cu1 Cu 0.3945 0.3328 0.7057 1
Br1 Br 0.0232 0.1115 0.3630 1
Br2 Br 0.0473 0.3101 0.6237 1
Br3 Br 0.1379 0.0558 0.1658 1
Br4 Br 0.1603 0.3341 0.9086 1
Br5 Br 0.2529 0.3619 0.6697 1
Br6 Br 0.3044 0.0953 0.8898 1
Br7 Br 0.3849 0.4868 0.5473 1
Br8 Br 0.4105 0.0626 0.6779 1
Br9 Br 0.4529 0.2106 0.3990 1
# **Crystal system**: monoclinic
# **M_tot**: 13.00 μB/f.u.
# **V**: 1953.7 Å³ per cell
# **Uncorrected formation energy**: -0.583 eV per atom



# Ho4AgHgRu2 GGA-PBE optimized geometry
data_Ho4AgHgRu2
_cell_length_a 4.9762
_cell_length_b 4.9762
_cell_length_c 24.3202
_cell_angle_alpha 90.00
_cell_angle_beta 90.00
_cell_angle_gamma 120.00
_symmetry_space_group_name_H-M 'R -3 m'
_symmetry_Int_Tables_number 166
_symmetry_space_group_name_Hall '-R 3 2"'
loop_
_atom_site_label
_atom_site_type_symbol
_atom_site_fract_x
_atom_site_fract_y
_atom_site_fract_z
_atom_site_occupancy
Ho1 Ho 0.0000 0.0000 0.1234 1
Ho2 Ho 0.0000 0.0000 0.3734 1
Ag1 Ag 0.0000 0.0000 0.0000 1
Hg1 Hg 0.0000 0.0000 0.5000 1
Ru1 Ru 0.0000 0.0000 0.2503 1
# **Crystal system**: trigonal
# **E**: -0.3948 Ry per atom
# **M_tot**: 0.00 μB/f.u.
# **V**: 521.5 Å³ per cell



# MgCd2Ag4 GGA-PBE optimized geometry
data_MgCd2Ag4
_cell_length_a 5.0170
_cell_length_b 5.0170
_cell_length_c 13.9154
_cell_angle_alpha 90.00
_cell_angle_beta 90.00
_cell_angle_gamma 90.00
_symmetry_space_group_name_H-M 'I 4/m m m'
_symmetry_Int_Tables_number 139
_symmetry_space_group_name_Hall '-I 4 2'
loop_
_atom_site_label
_atom_site_type_symbol
_atom_site_fract_x
_atom_site_fract_y
_atom_site_fract_z
_atom_site_occupancy
Mg1 Mg 0.0000 0.0000 0.0000 1
Cd1 Cd 0.0000 0.0000 0.3865 1
Ag1 Ag 0.0000 0.0000 0.1906 1
Ag2 Ag 0.0000 0.5000 0.0000 1
# **Crystal system**: tetragonal
# **Energy relative to the lowest polymorph listed for this composition**: 0.276 eV per atom
# **M_tot**: 0.00 μB/f.u.
# **V**: 350.3 Å³ per cell



# Ba2NbV GGA-PBE optimized geometry
data_Ba2NbV
_cell_length_a 8.3512
_cell_length_b 8.3512
_cell_length_c 8.3512
_cell_angle_alpha 90.00
_cell_angle_beta 90.00
_cell_angle_gamma 90.00
_symmetry_space_group_name_H-M 'F m -3 m'
_symmetry_Int_Tables_number 225
_symmetry_space_group_name_Hall '-F 4 2 3'
loop_
_atom_site_label
_atom_site_type_symbol
_atom_site_fract_x
_atom_site_fract_y
_atom_site_fract_z
_atom_site_occupancy
Ba1 Ba 0.2500 0.2500 0.2500 1
Nb1 Nb 0.0000 0.0000 0.0000 1
V1 V 0.0000 0.0000 0.5000 1
# **Crystal system**: cubic
# **Energy relative to the lowest polymorph listed for this composition**: 0.000 eV per atom
# **M_tot**: 8.71 μB/f.u.
# **V**: 582.4 Å³ per cell



# EuErN GGA-PBE optimized geometry
data_EuErN
_cell_length_a 3.3045
_cell_length_b 3.3045
_cell_length_c 13.7432
_cell_angle_alpha 90.00
_cell_angle_beta 90.00
_cell_angle_gamma 90.00
_symmetry_space_group_name_H-M 'I 4 m m'
_symmetry_Int_Tables_number 107
_symmetry_space_group_name_Hall 'I 4 -2'
loop_
_atom_site_label
_atom_site_type_symbol
_atom_site_fract_x
_atom_site_fract_y
_atom_site_fract_z
_atom_site_occupancy
Eu1 Eu 0.0000 0.0000 0.0000 1
Er1 Er 0.0000 0.0000 0.2949 1
N1 N 0.0000 0.0000 0.8249 1
# **Crystal system**: tetragonal
# **Energy relative to the lowest polymorph listed for this composition**: 0.213 eV per atom
# **M_tot**: 7.73 μB/f.u.
# **V**: 150.1 Å³ per cell
# **Uncorrected formation energy**: -0.710 eV per atom